# TlCr3P (PBE, optimized geometry)
# * magnetic moment: 0.000 μB per atom
# * N(E_F): 6.04 states/eV per cell
# * polymorph energy (0 for the lowest one): 0 meV/atom
# * ΔH_f (0 K): 53.8 kJ/mol of atoms
data_TlCr3P
_chemical_formula_sum 'Tl1 Cr3 P1'
_symmetry_space_group_name_H-M 'P m -3 m'
_symmetry_Int_Tables_number 221
_symmetry_space_group_name_Hall '-P 4 2 3'
_cell_length_a 4.268
_cell_length_b 4.268
_cell_length_c 4.268
_cell_angle_alpha 90.00
_cell_angle_beta 90.00
_cell_angle_gamma 90.00
loop_
_atom_site_label
_atom_site_type_symbol
_atom_site_fract_x
_atom_site_fract_y
_atom_site_fract_z
Tl1 Tl 0.000 0.000 0.000
Cr1 Cr 0.000 0.500 0.500
P1 P 0.500 0.500 0.500

# Tl2CrP2 (PBE, optimized geometry)
# * magnetic moment: 0.667 μB per atom
# * N(E_F): 3.84 states/eV per cell
# * ΔH_f (0 K): 5.5 kJ/mol of atoms
data_Tl2CrP2
_chemical_formula_sum 'Tl4 Cr2 P4'
_symmetry_space_group_name_H-M 'P 4/m b m'
_symmetry_Int_Tables_number 127
_symmetry_space_group_name_Hall '-P 4 2ab'
_cell_length_a 6.196
_cell_length_b 6.196
_cell_length_c 5.778
_cell_angle_alpha 90.00
_cell_angle_beta 90.00
_cell_angle_gamma 90.00
loop_
_atom_site_label
_atom_site_type_symbol
_atom_site_fract_x
_atom_site_fract_y
_atom_site_fract_z
Tl1 Tl 0.193 0.307 0.000
Cr1 Cr 0.000 0.000 0.500
P1 P 0.125 0.625 0.500

# TlCr2P (PBE, optimized geometry)
# * magnetic moment: 0.064 μB per atom
# * N(E_F): 3.05 states/eV per cell
# * polymorph energy (0 for the lowest one): 121 meV/atom
# * ΔH_f (0 K): 24.4 kJ/mol of atoms
data_TlCr2P
_chemical_formula_sum 'Tl1 Cr2 P1'
_symmetry_space_group_name_H-M 'P 4 m m'
_symmetry_Int_Tables_number 99
_cell_length_a 3.062
_cell_length_b 3.062
_cell_length_c 6.625
_cell_angle_alpha 90.00
_cell_angle_beta 90.00
_cell_angle_gamma 90.00
loop_
_symmetry_equiv_pos_as_xyz
'x,y,z'
'-y,x,z'
'-x,-y,z'
'y,-x,z'
'-x,y,z'
'y,x,z'
'x,-y,z'
'-y,-x,z'
loop_
_atom_site_label
_atom_site_type_symbol
_atom_site_fract_x
_atom_site_fract_y
_atom_site_fract_z
Tl1 Tl 0.000 0.000 0.000
Cr1 Cr 0.000 0.000 0.496
Cr2 Cr 0.500 0.500 0.288
P1 P 0.500 0.500 0.648

# Tl2Cr2P (PBE, optimized geometry)
# * magnetic moment: 0.000 μB per atom
# * N(E_F): 8.17 states/eV per cell
# * ΔH_f (0 K): 80.8 kJ/mol of atoms
data_Tl2Cr2P
_chemical_formula_sum 'Tl4 Cr4 P2'
_symmetry_space_group_name_H-M 'I 4/m m m'
_symmetry_Int_Tables_number 139
_symmetry_space_group_name_Hall '-I 4 2'
_cell_length_a 3.308
_cell_length_b 3.308
_cell_length_c 17.336
_cell_angle_alpha 90.00
_cell_angle_beta 90.00
_cell_angle_gamma 90.00
loop_
_atom_site_label
_atom_site_type_symbol
_atom_site_fract_x
_atom_site_fract_y
_atom_site_fract_z
Tl1 Tl 0.000 0.000 0.109
Cr1 Cr 0.000 0.500 0.250
P1 P 0.000 0.000 0.500

# Tl2CrP (PBE, optimized geometry)
# * magnetic moment: 0.818 μB per atom
# * N(E_F): 4.57 states/eV per cell
# * polymorph energy (0 for the lowest one): 208 meV/atom
# * ΔH_f (0 K): 28.2 kJ/mol of atoms
data_Tl2CrP
_chemical_formula_sum 'Tl4 Cr2 P2'
_symmetry_space_group_name_H-M 'I m m 2'
_symmetry_Int_Tables_number 44
_cell_length_a 3.504
_cell_length_b 4.720
_cell_length_c 11.492
_cell_angle_alpha 90.00
_cell_angle_beta 90.00
_cell_angle_gamma 90.00
loop_
_symmetry_equiv_pos_as_xyz
'x,y,z'
'-x,-y,z'
'-x,y,z'
'x,-y,z'
'x+1/2,y+1/2,z+1/2'
'-x+1/2,-y+1/2,z+1/2'
'-x+1/2,y+1/2,z+1/2'
'x+1/2,-y+1/2,z+1/2'
loop_
_atom_site_label
_atom_site_type_symbol
_atom_site_fract_x
_atom_site_fract_y
_atom_site_fract_z
Tl1 Tl 0.000 0.000 0.000
Tl2 Tl 0.000 0.500 0.213
Cr1 Cr 0.000 0.500 0.773
P1 P 0.000 0.000 0.405

# Tl4CrP (PBE, optimized geometry)
# * magnetic moment: 0.800 μB per atom
# * N(E_F): 13.48 states/eV per cell
# * ΔH_f (0 K): 73.8 kJ/mol of atoms
data_Tl4CrP
_chemical_formula_sum 'Tl16 Cr4 P4'
_symmetry_space_group_name_H-M 'F -4 3 m'
_symmetry_Int_Tables_number 216
_symmetry_space_group_name_Hall 'F -4 2 3'
_cell_length_a 8.840
_cell_length_b 8.840
_cell_length_c 8.840
_cell_angle_alpha 90.00
_cell_angle_beta 90.00
_cell_angle_gamma 90.00
loop_
_atom_site_label
_atom_site_type_symbol
_atom_site_fract_x
_atom_site_fract_y
_atom_site_fract_z
Tl1 Tl 0.125 0.125 0.125
Cr1 Cr 0.250 0.250 0.750
P1 P 0.000 0.000 0.500